A plane-wave DFT calculation with GGA-PBE was carried out for a relaxed KZrTa crystal.

Lattice parameters (Å, degrees): 3.842 4.361 13.070 89.07 82.27 90.00
Fractional positions:
K 0.000 0.000 0.000
K 0.325 0.482 0.311
Zr 0.622 0.516 0.754
Zr 0.712 0.965 0.557
Ta 0.135 0.013 0.725
Ta 0.199 0.468 0.586

Results
Energy of formation (eV per atom): 0.4509
Total DFT energy (no corrections) (eV/atom): -6.715
Distance to the lowest polymorph of the same formula (eV/atom): 0.002
Calculated volume (Å³ per cell): 216.9

A plane-wave DFT calculation with GGA-PBE was carried out for a relaxed KZr2Ta crystal.

Lattice parameters (Å, degrees): 2.982 4.849 8.077 90.00 99.05 90.00
Fractional positions:
K 0.000 0.000 0.000
Zr 0.385 0.500 0.655
Zr 0.996 0.000 0.458
Ta 0.555 0.500 0.333

Results
Energy of formation (eV per atom): 0.7113
Total DFT energy (no corrections) (eV/atom): -6.800
Distance to the lowest polymorph of the same formula (eV/atom): 0.330
Calculated volume (Å³ per cell): 115.3

A plane-wave DFT calculation with GGA-PBE was carried out for a relaxed K2ZrTa crystal.

Lattice parameters (Å, degrees): 4.077 5.019 12.694 90.00 90.00 90.00
Fractional positions:
K 0.000 0.000 0.000
K 0.000 0.500 0.329
K 0.500 0.000 0.329
K 0.500 0.500 0.000
Zr 0.000 0.000 0.602
Zr 0.500 0.500 0.602
Ta 0.000 0.500 0.753
Ta 0.500 0.000 0.753

Results
Energy of formation (eV per atom): 0.7295
Total DFT energy (no corrections) (eV/atom): -4.919
Distance to the lowest polymorph of the same formula (eV/atom): 0.000
Calculated volume (Å³ per cell): 259.7

A plane-wave DFT calculation with GGA-PBE was carried out for a relaxed K2ZrTa crystal.

Lattice parameters (Å, degrees): 5.926 13.250 2.946 90.00 90.00 90.00
Fractional positions:
K 0.250 0.250 0.000
K 0.250 0.750 0.000
K 0.750 0.250 0.000
K 0.750 0.750 0.000
Zr 0.000 0.000 0.500
Zr 0.500 0.500 0.500
Ta 0.000 0.500 0.500
Ta 0.500 0.000 0.500

Results
Energy of formation (eV per atom): 1.3017
Total DFT energy (no corrections) (eV/atom): -4.347
Distance to the lowest polymorph of the same formula (eV/atom): 0.572
Calculated volume (Å³ per cell): 231.3

A plane-wave DFT calculation with GGA-PBE was carried out for a relaxed KZr2Ta crystal.

Lattice parameters (Å, degrees): 3.816 4.864 11.421 90.00 90.00 90.00
Fractional positions:
K 0.000 0.000 0.000
K 0.500 0.500 0.000
Zr 0.000 0.500 0.309
Zr 0.000 0.500 0.691
Zr 0.500 0.000 0.309
Zr 0.500 0.000 0.691
Ta 0.000 0.000 0.500
Ta 0.500 0.500 0.500

Results
Energy of formation (eV per atom): 0.4375
Total DFT energy (no corrections) (eV/atom): -7.074
Distance to the lowest polymorph of the same formula (eV/atom): 0.056
Calculated volume (Å³ per cell): 212.0

A plane-wave DFT calculation with GGA-PBE was carried out for a relaxed KZrTa crystal.

Lattice parameters (Å, degrees): 3.719 4.409 13.306 80.66 88.13 89.61
Fractional positions:
K 0.000 0.000 0.000
K 0.477 0.339 0.313
Zr 0.458 0.715 0.564
Zr 0.937 0.625 0.749
Ta 0.439 0.132 0.733
Ta 0.956 0.208 0.579

Results
Energy of formation (eV per atom): 0.4484
Total DFT energy (no corrections) (eV/atom): -6.718
Distance to the lowest polymorph of the same formula (eV/atom): 0.000
Calculated volume (Å³ per cell): 215.2

A plane-wave DFT calculation with GGA-PBE was carried out for a relaxed K2ZrTa crystal.

Lattice parameters (Å, degrees): 2.952 5.899 6.676 90.00 90.00 90.00
Fractional positions:
K 0.000 0.246 0.000
K 0.000 0.754 0.000
Zr 0.500 0.500 0.500
Ta 0.500 0.000 0.500

Results
Energy of formation (eV per atom): 1.2955
Total DFT energy (no corrections) (eV/atom): -4.353
Distance to the lowest polymorph of the same formula (eV/atom): 0.566
Calculated volume (Å³ per cell): 116.2

A plane-wave DFT calculation with GGA-PBE was carried out for a relaxed KZrTa crystal.

Lattice parameters (Å, degrees): 3.052 3.053 9.115 80.53 80.98 79.81
Fractional positions:
K 0.000 0.000 0.000
Zr 0.877 0.852 0.600
Ta 0.399 0.381 0.366

Results
Energy of formation (eV per atom): 0.6995
Total DFT energy (no corrections) (eV/atom): -6.467
Distance to the lowest polymorph of the same formula (eV/atom): 0.251
Calculated volume (Å³ per cell): 81.7

A plane-wave DFT calculation with GGA-PBE was carried out for a relaxed KZr2Ta crystal.

Lattice parameters (Å, degrees): 6.647 10.400 2.781 90.00 90.00 90.00
Fractional positions:
K 0.000 0.000 0.000
K 0.500 0.500 0.000
Zr 0.250 0.250 0.500
Zr 0.250 0.750 0.500
Zr 0.750 0.250 0.500
Zr 0.750 0.750 0.500
Ta 0.000 0.500 0.000
Ta 0.500 0.000 0.000

Results
Energy of formation (eV per atom): 0.9655
Total DFT energy (no corrections) (eV/atom): -6.546
Distance to the lowest polymorph of the same formula (eV/atom): 0.584
Calculated volume (Å³ per cell): 192.3

A plane-wave DFT calculation with GGA-PBE was carried out for a relaxed KZr4Ta crystal.

Lattice parameters (Å, degrees): 5.964 5.964 5.964 60.00 60.00 60.00
Fractional positions:
K 0.000 0.000 0.000
Zr 0.379 0.379 0.379
Zr 0.379 0.379 0.862
Zr 0.379 0.862 0.379
Zr 0.862 0.379 0.379
Ta 0.750 0.750 0.750

Results
Energy of formation (eV per atom): 0.9619
Total DFT energy (no corrections) (eV/atom): -6.895
Calculated volume (Å³ per cell): 150.0

A plane-wave DFT calculation with GGA-PBE was carried out for a relaxed KZrTa crystal.

Lattice parameters (Å, degrees): 7.146 7.146 7.146 90.00 90.00 90.00
Fractional positions:
K 0.000 0.000 0.000
K 0.000 0.500 0.500
K 0.500 0.000 0.500
K 0.500 0.500 0.000
Zr 0.000 0.000 0.500
Zr 0.000 0.500 0.000
Zr 0.500 0.000 0.000
Zr 0.500 0.500 0.500
Ta 0.250 0.250 0.250
Ta 0.250 0.750 0.750
Ta 0.750 0.250 0.750
Ta 0.750 0.750 0.250

Results
Energy of formation (eV per atom): 2.0515
Total DFT energy (no corrections) (eV/atom): -5.115
Distance to the lowest polymorph of the same formula (eV/atom): 1.603
Calculated volume (Å³ per cell): 364.9

A plane-wave DFT calculation with GGA-PBE was carried out for a relaxed KZr2Ta crystal.

Lattice parameters (Å, degrees): 3.117 3.117 11.103 90.00 90.00 90.00
Fractional positions:
K 0.000 0.000 0.000
Zr 0.000 0.000 0.481
Zr 0.500 0.500 0.682
Ta 0.500 0.500 0.293

Results
Energy of formation (eV per atom): 0.6131
Total DFT energy (no corrections) (eV/atom): -6.899
Distance to the lowest polymorph of the same formula (eV/atom): 0.232
Calculated volume (Å³ per cell): 107.9

A plane-wave DFT calculation with GGA-PBE was carried out for a relaxed KZr2Ta crystal.

Lattice parameters (Å, degrees): 7.393 7.393 13.584 90.00 90.00 90.00
Fractional positions:
K 0.000 0.250 0.375
K 0.000 0.750 0.625
K 0.500 0.250 0.125
K 0.500 0.750 0.875
Zr 0.000 0.000 0.000
Zr 0.000 0.500 0.000
Zr 0.250 0.250 0.750
Zr 0.250 0.750 0.250
Zr 0.500 0.000 0.500
Zr 0.500 0.500 0.500
Zr 0.750 0.250 0.750
Zr 0.750 0.750 0.250
Ta 0.000 0.250 0.875
Ta 0.000 0.750 0.125
Ta 0.500 0.250 0.625
Ta 0.500 0.750 0.375

Results
Energy of formation (eV per atom): 1.6756
Total DFT energy (no corrections) (eV/atom): -5.836
Distance to the lowest polymorph of the same formula (eV/atom): 1.295
Calculated volume (Å³ per cell): 742.5

A plane-wave DFT calculation with GGA-PBE was carried out for a relaxed K2ZrTa crystal.

Lattice parameters (Å, degrees): 3.278 4.445 21.987 90.00 90.00 90.00
Fractional positions:
K 0.000 0.000 0.152
K 0.000 0.000 0.848
K 0.500 0.500 0.348
K 0.500 0.500 0.652
Zr 0.000 0.500 0.000
Zr 0.500 0.000 0.500
Ta 0.000 0.500 0.500
Ta 0.500 0.000 0.000

Results
Energy of formation (eV per atom): 0.7875
Total DFT energy (no corrections) (eV/atom): -4.861
Distance to the lowest polymorph of the same formula (eV/atom): 0.058
Calculated volume (Å³ per cell): 320.4

A plane-wave DFT calculation with GGA-PBE was carried out for a relaxed K2ZrTa crystal.

Lattice parameters (Å, degrees): 7.836 7.836 7.836 90.00 90.00 90.00
Fractional positions:
K 0.250 0.250 0.250
K 0.250 0.250 0.750
K 0.250 0.750 0.250
K 0.250 0.750 0.750
K 0.750 0.250 0.250
K 0.750 0.250 0.750
K 0.750 0.750 0.250
K 0.750 0.750 0.750
Zr 0.000 0.000 0.000
Zr 0.000 0.500 0.500
Zr 0.500 0.000 0.500
Zr 0.500 0.500 0.000
Ta 0.000 0.000 0.500
Ta 0.000 0.500 0.000
Ta 0.500 0.000 0.000
Ta 0.500 0.500 0.500

Results
Energy of formation (eV per atom): 2.1140
Total DFT energy (no corrections) (eV/atom): -3.535
Distance to the lowest polymorph of the same formula (eV/atom): 1.385
Calculated volume (Å³ per cell): 481.1

Number 1: DOS at the Fermi energy 5.46 states/eV per cell. Number 2: DOS at the Fermi energy 4.66 states/eV per cell. Number 3: DOS at the Fermi energy 9.66 states/eV per cell. Number 4: DOS at the Fermi energy 10.02 states/eV per cell. Number 5: DOS at the Fermi energy 10.40 states/eV per cell. Number 6: DOS at the Fermi energy 7.29 states/eV per cell. Number 7: DOS at the Fermi energy 4.49 states/eV per cell. Number 8: DOS at the Fermi energy 2.35 states/eV per cell. Number 9: DOS at the Fermi energy 7.91 states/eV per cell. Number 10: DOS at the Fermi energy 11.36 states/eV per cell. Number 11: DOS at the Fermi energy 21.99 states/eV per cell. Number 12: DOS at the Fermi energy 3.79 states/eV per cell. Number 13: DOS at the Fermi energy 6.54 states/eV per cell. Number 14: DOS at the Fermi energy 7.93 states/eV per cell. Number 15: DOS at the Fermi energy 31.93 states/eV per cell.